No. 1
This record from OQMD describes a geometry-optimized Tb3MgInGa2Hg2 structure. The functional is GGA-PBE.

Cell lengths 4.5248, 7.3382, 7.3382 Å; angles 120.24, 90.00, 90.00 degrees
Closest atoms and distances in Å follow each position.
Element x y z (fractional)
Tb  0.0000  0.0000  0.0000  4 Ga 3.08, 1 In 3.19, 2 Mg 3.28
Tb  0.0000  0.1272  0.5673  4 Ga 3.14-3.17, 2 Hg 3.15, 1 In 3.22
Tb  0.0000  0.5673  0.1272  4 Ga 3.14-3.17, 2 Hg 3.15, 1 In 3.22
Mg  0.5000  0.3251  0.3251  2 Ga 2.77, 2 In 2.86
In  0.0000  0.5635  0.5635  2 Mg 2.86, 4 Hg 2.97, 1 Tb 3.19
Ga  0.5000  0.2280  0.9084  1 Mg 2.77, 2 Hg 2.78-2.79, 2 Tb 3.08
Ga  0.5000  0.9084  0.2280  1 Mg 2.77, 2 Hg 2.78-2.79, 2 Tb 3.08
Hg  0.5000  0.5572  0.8229  2 Ga 2.78-2.79, 2 In 2.97
Hg  0.5000  0.8229  0.5572  2 Ga 2.78-2.79, 2 In 2.97

* total magnetic moment: 0.014 μB per formula unit

No. 2
This record from OQMD describes a geometry-optimized Tb3Mg2InGa2Hg structure. The functional is GGA-PBE.

Cell lengths 4.5540, 7.3365, 7.3365 Å; angles 120.55, 90.00, 90.00 degrees
Closest atoms and distances in Å follow each position.
Element x y z (fractional)
Tb  0.0000  0.0000  0.0000  2 Hg 3.15, 4 Ga 3.16, 1 In 3.20
Tb  0.0000  0.4458  0.8822  4 Ga 3.12-3.14, 1 In 3.22, 2 Mg 3.25
Tb  0.0000  0.8822  0.4458  4 Ga 3.12-3.14, 1 In 3.22, 2 Mg 3.25
Mg  0.5000  0.2004  0.4491  2 Ga 2.77-2.80, 2 In 2.90
Mg  0.5000  0.4491  0.2004  2 Ga 2.77-2.80, 2 In 2.90
In  0.0000  0.4397  0.4397  4 Mg 2.90, 2 Hg 2.97, 3 Tb 3.20-3.22
Ga  0.5000  0.1173  0.7783  2 Mg 2.77-2.80, 1 Hg 2.81
Ga  0.5000  0.7783  0.1173  2 Mg 2.77-2.80, 1 Hg 2.81
Hg  0.5000  0.7009  0.7009  2 Ga 2.81, 2 In 2.97

* total magnetic moment: 0.018 μB per formula unit

No. 3
This record from OQMD describes a geometry-optimized Tm3Mg3InGaHg structure. The functional is GGA-PBE.

Cell lengths 7.3975, 7.3975, 4.4600 Å; angles 90.00, 90.00, 120.00 degrees
Closest atoms and distances in Å follow each position.
Element x y z (fractional)
Tm  0.0128  0.5814  0.0000  2 Ga 3.08, 1 Hg 3.14, 2 In 3.19, 2 Mg 3.31
Tm  0.4186  0.4314  0.0000  2 Ga 3.08, 1 Hg 3.14, 2 In 3.19, 2 Mg 3.31
Tm  0.5686  0.9872  0.0000  2 Ga 3.08, 1 Hg 3.14, 2 In 3.19, 2 Mg 3.31
Mg  0.0070  0.2483  0.5000  1 Ga 2.82, 2 Hg 2.87, 1 In 2.88, 2 Mg 3.14
Mg  0.2412  0.9930  0.5000  1 Ga 2.82, 2 Hg 2.87, 1 In 2.88, 2 Mg 3.14
Mg  0.7517  0.7588  0.5000  1 Ga 2.82, 2 Hg 2.87, 1 In 2.88, 2 Mg 3.14
In  0.6667  0.3333  0.5000  3 Mg 2.88, 6 Tm 3.19
Ga  0.3333  0.6667  0.5000  3 Mg 2.82, 6 Tm 3.08
Hg  0.0000  0.0000  0.0000  6 Mg 2.87, 3 Tm 3.14

* total magnetic moment: 0.002 μB per formula unit

No. 4
This record from OQMD describes a geometry-optimized InGaHgTe4 structure. The functional is GGA-PBE.

Cell lengths 7.6468, 7.6468, 7.6468 Å; angles 131.47, 131.47, 71.07 degrees
Closest atoms and distances in Å follow each position.
Element x y z (fractional)
In  0.0000  0.0000  0.0000  4 Te 2.85
Ga  0.7500  0.2500  0.5000  4 Te 2.67
Hg  0.2500  0.7500  0.5000  4 Te 2.89
Te  0.1435  0.5923  0.9697  1 Ga 2.67, 1 In 2.85, 1 Hg 2.89
Te  0.4077  0.3775  0.5512  1 Ga 2.67, 1 In 2.85, 1 Hg 2.89
Te  0.6225  0.1737  0.0303  1 Ga 2.67, 1 In 2.85, 1 Hg 2.89
Te  0.8263  0.8565  0.4488  1 Ga 2.67, 1 In 2.85, 1 Hg 2.89

No. 5
This record from OQMD describes a geometry-optimized GaHgIr structure. The functional is GGA-PBE.

Cell lengths 4.3961, 4.3961, 4.3961 Å; angles 60.00, 60.00, 60.00 degrees
Closest atoms and distances in Å follow each position.
Element x y z (fractional)
Ga  0.0000  0.0000  0.0000  4 Ir 2.69
Hg  0.5000  0.5000  0.5000  4 Ir 2.69
Ir  0.2500  0.2500  0.2500  4 Hg 2.69, 4 Ga 2.69

* total magnetic moment: 0.001 μB per formula unit
* offset from the most stable computed form: 0 meV per atom

No. 6
This record from OQMD describes a geometry-optimized GaHg2Ir structure. The functional is GGA-PBE.

Cell lengths 4.7180, 4.7180, 4.7180 Å; angles 60.00, 60.00, 60.00 degrees
Closest atoms and distances in Å follow each position.
Element x y z (fractional)
Ga  0.0000  0.0000  0.0000  4 Hg 2.89, 4 Ir 2.89
Hg  0.5000  0.5000  0.5000  4 Hg 2.89, 4 Ir 2.89
Hg  0.7500  0.7500  0.7500  4 Ga 2.89, 4 Hg 2.89
Ir  0.2500  0.2500  0.2500  4 Hg 2.89, 4 Ga 2.89

* total magnetic moment: 0.013 μB per formula unit

No. 7
This record from OQMD describes a geometry-optimized Ga2HgIr structure. The functional is GGA-PBE.

Cell lengths 4.6369, 4.6369, 4.6369 Å; angles 60.00, 60.00, 60.00 degrees
Closest atoms and distances in Å follow each position.
Element x y z (fractional)
Ga  0.0000  0.0000  0.0000  4 Ir 2.84, 4 Ga 2.84
Ga  0.2500  0.2500  0.2500  4 Hg 2.84, 4 Ga 2.84
Hg  0.5000  0.5000  0.5000  4 Ir 2.84, 4 Ga 2.84
Ir  0.7500  0.7500  0.7500  4 Hg 2.84, 4 Ga 2.84

* total magnetic moment: 0.001 μB per formula unit

No. 8
This record from OQMD describes a geometry-optimized GaNiHgIr structure. The functional is GGA-PBE.

Cell lengths 4.4463, 4.4463, 4.4463 Å; angles 60.00, 60.00, 60.00 degrees
Closest atoms and distances in Å follow each position.
Element x y z (fractional)
Ga  0.0000  0.0000  0.0000  4 Hg 2.72, 4 Ni 2.72
Ni  0.2500  0.2500  0.2500  4 Ir 2.72, 4 Ga 2.72
Hg  0.7500  0.7500  0.7500  4 Ir 2.72, 4 Ga 2.72
Ir  0.5000  0.5000  0.5000  4 Hg 2.72, 4 Ni 2.72

* total magnetic moment: 0.001 μB per formula unit

No. 9
This record from OQMD describes a geometry-optimized KGaHg structure. The functional is GGA-PBE.

Cell lengths 5.4219, 5.4219, 5.4219 Å; angles 60.00, 60.00, 60.00 degrees
Closest atoms and distances in Å follow each position.
Element x y z (fractional)
K  0.0000  0.0000  0.0000  4 Hg 3.32, 4 Ga 3.32
Ga  0.2500  0.2500  0.2500  4 K 3.32
Hg  0.7500  0.7500  0.7500  4 K 3.32

* offset from the most stable computed form: 240 meV per atom

No. 10
This record from OQMD describes a geometry-optimized KGaHg structure. The functional is GGA-PBE.

Cell lengths 5.2652, 5.2652, 5.2652 Å; angles 60.00, 60.00, 60.00 degrees
Closest atoms and distances in Å follow each position.
Element x y z (fractional)
K  0.0000  0.0000  0.0000  4 Hg 3.22
Ga  0.5000  0.5000  0.5000  4 Hg 3.22
Hg  0.7500  0.7500  0.7500  4 K 3.22, 4 Ga 3.22

* offset from the most stable computed form: 0 meV per atom

No. 11
This record from OQMD describes a geometry-optimized LaGaHg structure. The functional is GGA-PBE.

Cell lengths 4.8700, 4.8700, 4.8700 Å; angles 60.00, 60.00, 60.00 degrees
Closest atoms and distances in Å follow each position.
Element x y z (fractional)
La  0.0000  0.0000  0.0000  4 Ga 2.98
Ga  0.7500  0.7500  0.7500  4 Hg 2.98, 4 La 2.98
Hg  0.5000  0.5000  0.5000  4 Ga 2.98

* total magnetic moment: 0.000 μB per formula unit

No. 12
This record from OQMD describes a geometry-optimized La2GaHg5 structure. The functional is GGA-PBE.

Cell lengths 5.0585, 6.9003, 6.9003 Å; angles 59.17, 90.00, 90.00 degrees
Closest atoms and distances in Å follow each position.
Element x y z (fractional)
La  0.0000  0.0000  0.0000  2 Ga 3.25, 10 Hg 3.27-3.53
La  0.5000  0.3356  0.3356  10 Hg 3.26-3.48, 2 Ga 3.41
Ga  0.5000  0.8294  0.8294  6 Hg 3.13-3.30, 4 La 3.25-3.41
Hg  0.0000  0.5085  0.5085  8 Hg 3.18-3.55, 4 La 3.27-3.41
Hg  0.0000  0.5171  0.9894  2 Ga 3.13, 4 Hg 3.19-3.35, 3 La 3.26-3.37
Hg  0.0000  0.9894  0.5171  2 Ga 3.13, 4 Hg 3.19-3.35, 3 La 3.26-3.37
Hg  0.5000  0.3495  0.8331  6 Hg 3.18-3.52, 4 La 3.27-3.48, 1 Ga 3.30
Hg  0.5000  0.8331  0.3495  6 Hg 3.18-3.52, 4 La 3.27-3.48, 1 Ga 3.30

* total magnetic moment: 0.003 μB per formula unit

No. 13
This record from OQMD describes a geometry-optimized LiGaHg structure. The functional is GGA-PBE.

Cell lengths 4.4780, 4.4780, 4.4780 Å; angles 60.00, 60.00, 60.00 degrees
Closest atoms and distances in Å follow each position.
Element x y z (fractional)
Li  0.0000  0.0000  0.0000  4 Hg 2.74
Ga  0.5000  0.5000  0.5000  4 Hg 2.74
Hg  0.7500  0.7500  0.7500  4 Ga 2.74, 4 Li 2.74

* offset from the most stable computed form: 0 meV per atom

No. 14
This record from OQMD describes a geometry-optimized Li4Ga3Hg structure. The functional is GGA-PBE.

Cell lengths 4.4253, 4.4253, 6.3294 Å; angles 90.00, 90.00, 90.00 degrees
Closest atoms and distances in Å follow each position.
Element x y z (fractional)
Li  0.0000  0.0000  0.0000  4 Li 2.75, 4 Ga 2.75
Li  0.0000  0.5000  0.7418  4 Li 2.69-2.75, 2 Ga 2.69, 2 Hg 2.75
Li  0.5000  0.0000  0.2582  4 Li 2.69-2.75, 2 Ga 2.69, 2 Hg 2.75
Li  0.5000  0.5000  0.5000  4 Ga 2.69, 4 Li 2.69
Ga  0.0000  0.0000  0.5000  4 Ga 2.69, 4 Li 2.69
Ga  0.0000  0.5000  0.2590  4 Li 2.69-2.75, 2 Ga 2.69, 2 Hg 2.75
Ga  0.5000  0.0000  0.7410  4 Li 2.69-2.75, 2 Ga 2.69, 2 Hg 2.75
Hg  0.5000  0.5000  0.0000  4 Li 2.75, 4 Ga 2.75

No. 15
This record from OQMD describes a geometry-optimized Li8Ga2Hg structure. The functional is GGA-PBE.

Cell lengths 4.4811, 4.4811, 10.3427 Å; angles 102.70, 102.70, 59.90 degrees
Closest atoms and distances in Å follow each position.
Element x y z (fractional)
Li  0.0920  0.0920  0.2765  4 Li 2.59-2.70, 3 Ga 2.75, 1 Hg 2.77
Li  0.1783  0.1783  0.5350  5 Li 2.59-2.68, 3 Ga 2.75-2.76
Li  0.2675  0.2675  0.8022  8 Li 2.67-2.95
Li  0.3656  0.3656  0.0972  1 Ga 2.73, 3 Hg 2.76, 4 Li 2.77-2.95
Li  0.6344  0.6344  0.9028  1 Ga 2.73, 3 Hg 2.76, 4 Li 2.77-2.95
Li  0.7325  0.7325  0.1978  8 Li 2.67-2.95
Li  0.8217  0.8217  0.4650  5 Li 2.59-2.68, 3 Ga 2.75-2.76
Li  0.9080  0.9080  0.7235  4 Li 2.59-2.70, 3 Ga 2.75, 1 Hg 2.77
Ga  0.4565  0.4565  0.3700  1 Ga 2.60, 7 Li 2.73-2.76
Ga  0.5435  0.5435  0.6300  1 Ga 2.60, 7 Li 2.73-2.76
Hg  0.0000  0.0000  0.0000  8 Li 2.76-2.77

No. 16
This record from OQMD describes a geometry-optimized Li2GaHg structure. The functional is GGA-PBE.

Cell lengths 4.4190, 4.4897, 6.6728 Å; angles 90.00, 90.00, 90.00 degrees
Closest atoms and distances in Å follow each position.
Element x y z (fractional)
Li  0.2500  0.0000  0.1160  4 Li 2.70-2.81, 2 Ga 2.70, 2 Hg 2.73
Li  0.2500  0.5000  0.3696  2 Ga 2.81, 4 Li 2.81, 2 Hg 2.90
Li  0.7500  0.0000  0.8840  4 Li 2.70-2.81, 2 Ga 2.70, 2 Hg 2.73
Li  0.7500  0.5000  0.6304  2 Ga 2.81, 4 Li 2.81, 2 Hg 2.90
Ga  0.2500  0.5000  0.8900  2 Ga 2.65, 4 Li 2.70-2.81, 2 Hg 2.78
Ga  0.7500  0.5000  0.1100  2 Ga 2.65, 4 Li 2.70-2.81, 2 Hg 2.78
Hg  0.2500  0.0000  0.6442  4 Li 2.73-2.90, 2 Ga 2.78, 2 Hg 2.93
Hg  0.7500  0.0000  0.3558  4 Li 2.73-2.90, 2 Ga 2.78, 2 Hg 2.93

No. 17
This record from OQMD describes a geometry-optimized LiGaHg2 structure. The functional is GGA-PBE.

Cell lengths 4.8955, 4.8955, 4.8955 Å; angles 60.00, 60.00, 60.00 degrees
Closest atoms and distances in Å follow each position.
Element x y z (fractional)
Li  0.0000  0.0000  0.0000  4 Ga 3.00, 4 Hg 3.00
Ga  0.7500  0.7500  0.7500  4 Hg 3.00, 4 Li 3.00
Hg  0.2500  0.2500  0.2500  4 Hg 3.00, 4 Li 3.00
Hg  0.5000  0.5000  0.5000  4 Hg 3.00, 4 Ga 3.00

No. 18
This record from OQMD describes a geometry-optimized LiGaNiHg structure. The functional is GGA-PBE.

Cell lengths 4.3889, 4.3889, 4.3889 Å; angles 60.00, 60.00, 60.00 degrees
Closest atoms and distances in Å follow each position.
Element x y z (fractional)
Li  0.0000  0.0000  0.0000  4 Hg 2.69, 4 Ga 2.69
Ga  0.2500  0.2500  0.2500  4 Ni 2.69, 4 Li 2.69
Ni  0.5000  0.5000  0.5000  4 Hg 2.69, 4 Ga 2.69
Hg  0.7500  0.7500  0.7500  4 Ni 2.69, 4 Li 2.69

* total magnetic moment: 0.001 μB per formula unit
* offset from the most stable computed form: 0 meV per atom

No. 19
This record from OQMD describes a geometry-optimized LiGaHgPd structure. The functional is GGA-PBE.

Cell lengths 4.5439, 4.5439, 4.5439 Å; angles 60.00, 60.00, 60.00 degrees
Closest atoms and distances in Å follow each position.
Element x y z (fractional)
Li  0.0000  0.0000  0.0000  4 Ga 2.78, 4 Hg 2.78
Ga  0.7500  0.7500  0.7500  4 Pd 2.78, 4 Li 2.78
Hg  0.2500  0.2500  0.2500  4 Pd 2.78, 4 Li 2.78
Pd  0.5000  0.5000  0.5000  4 Hg 2.78, 4 Ga 2.78

* offset from the most stable computed form: 0 meV per atom

No. 20
This record from OQMD describes a geometry-optimized Li4Ga2HgPt structure. The functional is GGA-PBE.

Cell lengths 4.3744, 4.3744, 6.3409 Å; angles 90.00, 90.00, 90.00 degrees
Closest atoms and distances in Å follow each position.
Element x y z (fractional)
Li  0.0000  0.0000  0.0000  4 Ga 2.59, 4 Li 2.65
Li  0.0000  0.5000  0.2356  2 Pt 2.65, 4 Li 2.65-2.76, 2 Hg 2.76, 1 Ga 2.88
Li  0.5000  0.0000  0.7644  2 Pt 2.65, 4 Li 2.65-2.76, 2 Hg 2.76, 1 Ga 2.88
Li  0.5000  0.5000  0.5000  4 Li 2.76, 4 Ga 2.83
Ga  0.0000  0.5000  0.7821  2 Pt 2.59, 5 Li 2.59-2.88, 2 Hg 2.83
Ga  0.5000  0.0000  0.2179  2 Pt 2.59, 5 Li 2.59-2.88, 2 Hg 2.83
Hg  0.0000  0.0000  0.5000  4 Li 2.76, 4 Ga 2.83
Pt  0.5000  0.5000  0.0000  4 Ga 2.59, 4 Li 2.65

* total magnetic moment: 0.000 μB per formula unit

| no. | total energy (eV per atom) |
| --- | --- |
| 1 | -3.259 |
| 2 | -3.390 |
| 3 | -3.106 |
| 4 | -2.964 |
| 5 | -3.922 |
| 6 | -2.689 |
| 7 | -3.523 |
| 8 | -4.085 |
| 9 | -1.143 |
| 10 | -1.383 |
| 11 | -3.232 |
| 12 | -2.229 |
| 13 | -1.877 |
| 14 | -2.468 |
| 15 | -2.228 |
| 16 | -2.124 |
| 17 | -1.490 |
| 18 | -2.903 |
| 19 | -2.983 |
| 20 | -3.003 |